Compound: LaBeIn4
Source: Alexandria via LeMat-Bulk
Functional: meta-GGA SCAN
Structure: PBEsol geometry

The calculation puts the formation energy from the elements at 142 meV/atom. The total magnetization is 0.0 Bohr magnetons per cell. The calculation puts the density of states at the Fermi level at 0.725 states/eV per atom.

The space group is F-43m (No. 216) and the conventional cell measures 8.461, 8.461 and 8.461 Å, with angles of 90.00, 90.00 and 90.00 degrees. The distinct sites, in fractional coordinates, are La at (0.000, 0.000, 0.000), Be at (0.250, 0.250, 0.750) and In at (0.125, 0.125, 0.375).